A plane-wave DFT calculation with PBE was carried out for a geometry-optimized Cs2CrGeCl6 structure.

The structure in extended XYZ format:
```
10
Lattice="-7.1373 1.6273 0.7685 -0.3134 -4.2192 6.0233 -2.4706 2.8163 6.3418" Properties=species:S:1:pos:R:3 pbc="T T T"
Cs -6.6666 1.5738 5.2531
Cs -3.2547 -1.3494 7.8805
Cr -3.7253 -1.2960 3.3959
Ge 0.0000 0.0000 0.0000
Cl -3.1194 0.6899 4.8185
Cl -6.8019 -0.4655 8.3151
Cl -1.9298 -0.6713 1.7591
Cl -5.5209 -1.9206 5.0327
Cl -5.3698 0.1130 2.1296
Cl -2.0808 -2.7049 4.6622
```

- magnetization (μB/cell) = 4.00
- uncorrected formation energy (meV per atom) = -1348
- space-group type = Fm-3m, No. 225
- density of states at the Fermi level (states/eV/atom) = 0.296



A plane-wave DFT calculation with PBE was carried out for a geometry-optimized CsCrH2Cl8 structure.

The structure in extended XYZ format:
```
12
Lattice="6.1769 -1.7987 0.8667 -1.6934 6.5391 0.0917 1.3502 -0.1993 9.4485" Properties=species:S:1:pos:R:3 pbc="T T T"
Cs 0.6751 -0.0997 4.7243
Cr 0.0000 0.0000 0.0000
H 3.8932 0.7096 7.3598
H 1.9405 3.8315 3.0471
Cl 5.0407 3.1346 2.4340
Cl 2.2884 4.0837 1.0579
Cl 5.8303 -0.3462 2.5553
Cl 0.7930 1.4065 7.9729
Cl 3.5453 0.4573 9.3489
Cl 0.0034 4.8872 7.8516
Cl 1.6873 3.6907 4.3512
Cl 4.1464 0.8504 6.0556
```

- electronic total energy (eV for the cell shown) = -42.003
- magnetization (μB/cell) = 0.92
- space-group type = P-1, No. 2
- density of states at the Fermi level (states/eV/atom) = 0.704